Material: Al3WAu
Method: DFT, GGA-PBE
State: optimized geometry

a b c (Å): 4.850 4.850 4.850
angles (deg): 90.00 90.00 90.00
Positions (direct):
W 0.000 0.000 0.000
Al 0.000 0.000 0.500
Al 0.500 0.000 0.000
Al 0.000 0.500 0.000
Au 0.500 0.500 0.500

- Size of the total moment: 0.000 μB/f.u.
- Calculated formation energy: 0.86 eV per atom
- Calculated total energy: -23.2 eV for the cell shown

***

Material: BeTeOs2
Method: DFT, GGA-PBE
State: optimized geometry

a b c (Å): 3.770 3.047 5.478
angles (deg): 73.71 90.00 90.00
Positions (direct):
Os 0.000 0.901 0.960
Os 0.000 0.599 0.540
Be 0.500 0.750 0.750
Te 0.500 0.250 0.250

- Size of the total moment: 0.000 μB/f.u.
- Calculated total energy: -27.1 eV for the cell shown

***

Material: DyTmSiAu
Method: DFT, GGA-PBE
State: optimized geometry

a b c (Å): 5.012 5.012 5.012
angles (deg): 60.00 60.00 60.00
Positions (direct):
Au 0.250 0.250 0.250
Dy 0.000 0.000 0.000
Tm 0.500 0.500 0.500
Si 0.750 0.750 0.750

- Size of the total moment: 0.003 μB/f.u.
- Calculated total energy: -20.4 eV for the cell shown